VASP calculation (PBE) on a geometry-optimized Ce4Th3Al2 structure.

Geometry as POSCAR:
```
Ce4Th3Al2
1.0
4.988 -2.694 0.000
4.988 2.694 0.000
-3.240 0.000 9.092
Ce Th Al
4 3 2
Direct
0.038 0.038 0.145 Ce
0.322 0.322 0.482 Ce
0.678 0.678 0.518 Ce
0.962 0.962 0.855 Ce
0.000 0.000 0.500 Th
0.372 0.372 0.123 Th
0.628 0.628 0.877 Th
0.271 0.271 0.782 Al
0.729 0.729 0.218 Al
```

Computed properties:
- magnetic moment (μB per cell) = 0.003
- N(E_F) (states/eV/f.u.) = 19.12
- space-group type = No. 12
- calculated formation energy (eV/atom) = -0.0456

=====

VASP calculation (PBE) on a geometry-optimized Ce4ThAl structure.

Geometry as POSCAR:
```
Ce4ThAl
1.0
5.790 0.000 0.000
0.012 6.747 0.000
1.142 1.921 8.133
Ce Th Al
8 2 2
Direct
0.073 0.207 0.159 Ce
0.248 0.881 0.476 Ce
0.323 0.038 0.836 Ce
0.328 0.549 0.837 Ce
0.672 0.451 0.163 Ce
0.677 0.962 0.164 Ce
0.752 0.119 0.524 Ce
0.927 0.793 0.841 Ce
0.240 0.376 0.497 Th
0.760 0.624 0.503 Th
0.168 0.704 0.164 Al
0.832 0.296 0.836 Al
```

Computed properties:
- excess energy over the best structure of this formula in the dataset (kJ/mol of formula units) = 0
- magnetic moment (μB per cell) = 0.000
- N(E_F) (states/eV/f.u.) = 14.07
- space-group type = No. 2
- calculated formation energy (eV/atom) = -0.0825

=====

VASP calculation (PBE) on a geometry-optimized CeThAl2 structure.

Geometry as POSCAR:
```
CeThAl2
1.0
4.555 0.000 0.000
0.000 6.986 0.000
-2.252 0.000 6.604
Ce Th Al
2 2 4
Direct
0.224 0.250 0.451 Ce
0.776 0.750 0.549 Ce
0.057 0.750 0.115 Th
0.943 0.250 0.885 Th
0.404 0.561 0.807 Al
0.404 0.939 0.807 Al
0.596 0.061 0.193 Al
0.596 0.439 0.193 Al
```

Computed properties:
- excess energy over the best structure of this formula in the dataset (kJ/mol of formula units) = 1
- magnetic moment (μB per cell) = 1.646
- N(E_F) (states/eV/f.u.) = 7.32
- space-group type = No. 11
- calculated formation energy (eV/atom) = -0.2726

=====

VASP calculation (PBE) on a geometry-optimized CeTh2Al structure.

Geometry as POSCAR:
```
CeTh2Al
1.0
3.658 0.000 0.000
0.000 3.658 0.000
0.000 0.000 8.493
Ce Th Al
1 2 1
Direct
0.000 0.000 0.000 Ce
0.500 0.500 0.279 Th
0.500 0.500 0.721 Th
0.000 0.000 0.500 Al
```

Computed properties:
- excess energy over the best structure of this formula in the dataset (kJ/mol of formula units) = 28
- magnetic moment (μB per cell) = 0.000
- N(E_F) (states/eV/f.u.) = 5.70
- space-group type = No. 123
- calculated formation energy (eV/atom) = -0.0491

=====

VASP calculation (PBE) on a geometry-optimized CeThAl structure.

Geometry as POSCAR:
```
CeThAl
1.0
5.385 -2.480 0.000
5.385 2.480 0.000
-2.956 0.000 5.960
Ce Th Al
2 2 2
Direct
0.022 0.022 0.289 Ce
0.978 0.978 0.711 Ce
0.314 0.314 0.870 Th
0.686 0.686 0.130 Th
0.360 0.360 0.388 Al
0.640 0.640 0.612 Al
```

Computed properties:
- excess energy over the best structure of this formula in the dataset (kJ/mol of formula units) = 3
- magnetic moment (μB per cell) = 0.343
- N(E_F) (states/eV/f.u.) = 5.44
- space-group type = No. 12
- calculated formation energy (eV/atom) = -0.1550

=====

VASP calculation (PBE) on a geometry-optimized Ce2ThAl structure.

Geometry as POSCAR:
```
Ce2ThAl
1.0
0.000 3.775 3.775
3.775 0.000 3.775
3.775 3.775 0.000
Ce Th Al
2 1 1
Direct
0.250 0.250 0.250 Ce
0.750 0.750 0.750 Ce
0.000 0.000 0.000 Th
0.500 0.500 0.500 Al
```

Computed properties:
- excess energy over the best structure of this formula in the dataset (kJ/mol of formula units) = 78
- magnetic moment (μB per cell) = 1.104
- N(E_F) (states/eV/f.u.) = 11.79
- space-group type = No. 225
- calculated formation energy (eV/atom) = 0.0658

=====

What is the calculated formation energy in the first record?
-0.0456 eV/atom